Below is Ac2Tl2VO6 after structural relaxation, with properties calculated at the GGA+U level.

Values from the calculation:
Total moment, Bohr magnetons per cell: 1.00
Total DFT energy (no corrections), eV/cell: -73.109
SG: No. 12

a = 6.1930 Å, b = 6.1930 Å, c = 6.5818 Å
α = 97.43°, β = 97.43°, γ = 118.45°
With the nearest neighbours (Å) after each atom.
Element x y z (fractional)
O (0.7863, 0.7863, 0.6964)  1 V 2.09
O (0.9551, 0.6771, 0.3465)  1 V 1.99
O (0.2137, 0.2137, 0.3036)  1 V 2.09
O (0.0449, 0.3229, 0.6535)  1 V 1.99
O (0.6771, 0.9551, 0.3465)  1 V 1.99
O (0.3229, 0.0449, 0.6535)  1 V 1.99
V (0.0000, 0.0000, 0.5000)  6 O 1.99-2.09
Tl (0.1549, 0.8451, 0.0000)  4 O 2.68-2.82
Tl (0.8451, 0.1549, 0.0000)  4 O 2.68-2.82
Ac (0.3356, 0.6644, 0.5000)  6 O 2.48-2.62
Ac (0.6644, 0.3356, 0.5000)  6 O 2.48-2.62